# 1
# La2MgCdRh

A relaxed La2MgCdRh crystal (PBE, Alexandria).

Structure (POSCAR):
```
La2MgCdRh
1.0
-5.2351 1.1084 -0.9689
0.2042 -2.9976 -4.5328
-1.4326 -4.3236 2.7947
Mg Cd Rh La
1 1 1 2
direct
0.5000 0.5000 0.5000
0.0000 0.0000 0.5000
0.0000 0.0000 0.0000
0.0000 0.5000 0.0000
0.5000 0.0000 0.0000
```

Relative energy among the computed polymorphs (eV/atom): 0.0755
Symmetry: P4/mmm (123)
Energy relative to the elements (kJ/mol of atoms): -29.9

***

# 2
# Ba2RhAu

A relaxed Ba2RhAu crystal (PBE, Alexandria).

Structure (POSCAR):
```
Ba2RhAu
1.0
4.6184 0.0000 0.0000
0.0000 4.6184 0.0000
0.0000 0.0000 6.4433
Ba Rh Au
2 1 1
direct
0.0000 0.0000 0.8755
0.5000 0.5000 0.3750
0.0000 0.0000 0.3747
0.5000 0.5000 0.8748
```

Symmetry: P4mm (99)
Energy relative to the elements (kJ/mol of atoms): -22.8

***

# 3
# Nd4TlSbH

A relaxed Nd4TlSbH crystal (PBE, Alexandria).

Structure (POSCAR):
```
Nd4TlSbH
1.0
6.5874 0.0000 0.0000
0.0000 6.6219 0.0000
-3.2937 0.0000 8.8017
Nd Tl Sb H
8 2 2 2
direct
0.9294 0.2500 0.8589
0.4283 0.7500 0.8566
0.0706 0.7500 0.1411
0.5717 0.2500 0.1434
0.5000 0.5000 0.5000
0.0000 0.0000 0.5000
0.5000 0.0000 0.5000
0.0000 0.5000 0.5000
0.1109 0.2500 0.2219
0.8891 0.7500 0.7781
0.6129 0.7500 0.2258
0.3871 0.2500 0.7742
0.2924 0.7500 0.5848
0.7076 0.2500 0.4152
```

Symmetry: Cmcm (63)

***

# 4
# Al2FeBr

A relaxed Al2FeBr crystal (PBE, Alexandria).

Structure (POSCAR):
```
Al2FeBr
1.0
4.9343 0.0000 0.0000
0.0000 4.9343 0.0000
0.0000 0.0000 2.9299
Fe Br Al
1 1 2
direct
0.0000 0.5000 0.5000
0.5000 0.0000 0.5000
0.0000 0.0000 0.0000
0.5000 0.5000 0.0000
```

Relative energy among the computed polymorphs (eV/atom): 0.4104
Symmetry: P4/mmm (123)
Energy relative to the elements, uncorrected (eV/f.u.): 1.330

***

# 5
# Mn2Rh2S

A relaxed Mn2Rh2S crystal (PBE, Alexandria).

Structure (POSCAR):
```
Mn2Rh2S
1.0
-0.6999 -5.3996 1.4699
5.0032 -1.2673 -2.2733
1.8055 0.7360 3.5634
S Mn Rh
2 4 4
direct
0.0000 0.0000 0.0000
0.5000 0.5000 0.0000
0.3607 0.8607 0.0000
0.8607 0.6393 0.0000
0.6393 0.1393 0.0000
0.1393 0.3607 0.0000
0.1592 0.6592 0.5000
0.6592 0.8408 0.5000
0.8408 0.3408 0.5000
0.3408 0.1592 0.5000
```

Relative energy among the computed polymorphs (eV/atom): 0.0000
Symmetry: P4/mbm (127)
Energy relative to the elements, uncorrected (eV/f.u.): 0.351

***

# 6
# SrSiC3

A relaxed SrSiC3 crystal (PBE, Alexandria).

Structure (POSCAR):
```
SrSiC3
1.0
-1.6268 -4.2884 -0.5595
2.6182 -1.4524 3.5193
-3.4422 0.9220 2.9413
Sr Si C
1 1 3
direct
0.0000 0.0000 0.0000
0.5000 0.5000 0.5000
0.0000 0.5000 0.0000
0.0000 0.0000 0.5000
0.5000 0.0000 0.0000
```

Relative energy among the computed polymorphs (eV/atom): 2.4000
Symmetry: Pm-3m (221)
Energy relative to the elements, uncorrected (eV/f.u.): 18.578

***

# 7
# BaMgSn2Br

A relaxed BaMgSn2Br crystal (PBE, Alexandria).

Structure (POSCAR):
```
BaMgSn2Br
1.0
5.4601 0.0000 0.0000
0.0000 5.8019 0.0000
0.0000 0.0000 5.4601
Mg Ba Br Sn
1 1 1 2
direct
0.0000 0.0000 0.0000
0.5000 0.5000 0.5000
0.0000 0.5000 0.0000
0.0000 0.0000 0.5000
0.5000 0.0000 0.0000
```

Symmetry: P4/mmm (123)
Energy relative to the elements, uncorrected (eV/f.u.): -1.797

***

# 8
# CrOsAu2

A relaxed CrOsAu2 crystal (PBE, Alexandria).

Structure (POSCAR):
```
CrOsAu2
1.0
2.7648 0.0194 0.0000
-1.2188 2.4817 0.0000
0.0000 0.0000 9.4045
Au Cr Os
2 1 1
direct
0.0000 0.0000 0.9923
0.5000 0.5000 0.2696
0.0000 0.0000 0.5168
0.5000 0.5000 0.7213
```

Relative energy among the computed polymorphs (eV/atom): 0.1633
Symmetry: Cmm2 (35)
Energy relative to the elements (kJ/mol of atoms): 36.1

***

# 9
# Bi12O16F5

A relaxed Bi12O16F5 crystal (PBE, Alexandria).

Structure (POSCAR):
```
Bi12O16F5
1.0
-10.6273 -6.0458 5.9481
-8.1321 -8.8646 6.3370
1.4547 2.6776 10.0722
Bi O F
12 16 5
direct
0.6829 0.6904 0.9365
0.9344 0.9376 0.9231
0.5534 0.5613 0.7691
0.8112 0.8210 0.7559
0.4231 0.4415 0.6025
0.6751 0.7070 0.5573
0.2930 0.3249 0.4427
0.5585 0.5769 0.3975
0.1790 0.1888 0.2441
0.4387 0.4466 0.2309
0.0624 0.0656 0.0769
0.3096 0.3171 0.0635
0.8404 0.8454 0.9579
0.5958 0.6015 0.9428
0.0315 0.0305 0.8774
0.2761 0.2834 0.8833
0.4677 0.4760 0.7730
0.8980 0.9072 0.7124
0.3401 0.3489 0.6269
0.7700 0.7816 0.5542
0.2184 0.2300 0.4458
0.6511 0.6599 0.3731
0.0928 0.1020 0.2876
0.5240 0.5323 0.2270
0.7166 0.7239 0.1167
0.9695 0.9685 0.1226
0.3985 0.4042 0.0572
0.1546 0.1596 0.0421
0.1985 0.1810 0.7330
0.1257 0.0773 0.5940
0.0027 0.9973 0.5000
0.9227 0.8743 0.4060
0.8190 0.8015 0.2670
```

Symmetry: C2 (5)
Energy relative to the elements, uncorrected (eV/f.u.): -47.674

***

# 10
# ZnSiHg

A relaxed ZnSiHg crystal (PBE, Alexandria).

Structure (POSCAR):
```
ZnSiHg
1.0
6.8884 0.0739 0.0000
5.5876 4.0293 0.0000
-6.2380 -2.0516 2.0819
Hg Si Zn
1 1 1
direct
0.0059 0.0059 0.0000
0.3142 0.3142 0.0000
0.6799 0.6799 0.0000
```

Symmetry: I4mm (107)
Energy relative to the elements, uncorrected (eV/f.u.): 1.133

***

# 11
# TmZnCuHg

A relaxed TmZnCuHg crystal (PBE, Alexandria).

Structure (POSCAR):
```
TmZnCuHg
1.0
-1.9107 0.3606 -4.2797
-3.4737 -2.8991 -1.2750
-4.3755 1.6469 -0.4893
Zn Tm Hg Cu
1 1 1 1
direct
0.7500 0.7500 0.7500
0.5000 0.5000 0.5000
0.0000 0.0000 0.0000
0.2500 0.2500 0.2500
```

Symmetry: F-43m (216)
Energy relative to the elements (kJ/mol of atoms): -23.4

***

# 12
# CaCoW2

A relaxed CaCoW2 crystal (PBE, Alexandria).

Structure (POSCAR):
```
CaCoW2
1.0
-3.6936 -4.6658 1.0226
-2.5368 -4.2810 3.4199
-4.2154 1.2943 1.8263
Ca Co W
1 1 2
direct
0.2500 0.2500 0.2500
0.7500 0.7500 0.7500
0.0470 0.0470 0.9530
0.4530 0.4530 0.5470
```

Relative energy among the computed polymorphs (eV/atom): 0.0000
Symmetry: Immm (71)
Energy relative to the elements (kJ/mol of atoms): 46.5

***

| no. | E (Ry per atom) |
| --- | --- |
| 1 | -0.31259 |
| 2 | -0.28329 |
| 3 | -0.34753 |
| 4 | -0.29934 |
| 5 | -0.54122 |
| 6 | -0.23811 |
| 7 | -0.22040 |
| 8 | -0.47614 |
| 9 | -0.40743 |
| 10 | -0.14370 |
| 11 | -0.20424 |
| 12 | -0.60791 |